CoSb2Mo | meta-GGA SCAN | single point on PBEsol structure

The structure in POSCAR format:
```
CoSb2Mo
1.0
-3.4919 3.4919 3.0834
3.4919 -3.4919 3.0834
3.4919 3.4919 -3.0834
Co Sb Mo
2 4 2
direct
0.0000 0.0000 0.0000
0.7500 0.2500 0.5000
0.0865 0.1250 0.4615
0.3750 0.9135 0.0385
0.6635 0.6250 0.5385
0.8750 0.3365 0.9615
0.2500 0.7500 0.5000
0.5000 0.5000 0.0000
```

Calculated values
Crystal system: tetragonal
E_tot (eV per atom): -30.951
Spin magnetization (μB/f.u.): 1.72
ρ (g cm⁻³): 8.8
Formation energy (no corrections) (meV per atom): 726